ReOs3Pt: optimized geometry, PBE.

The space group is Pm-3m (No. 221) and the conventional cell measures 4.669, 4.669 and 4.669 Å, with angles of 90.00, 90.00 and 90.00 degrees. Symmetry generates all atoms from Re at (0.000, 0.000, 0.000), Os at (0.000, 0.000, 0.500) and Pt at (0.500, 0.500, 0.500).

As for the density of states at the Fermi level: 6.4 states/eV/f.u. The value obtained for the energy above the most stable polymorph in this dataset is 0.00 eV per formula unit. The calculation puts the total DFT energy (no corrections) at -8.07 eV per atom.